No. 1
An optimized crystal structure of CsTaTeI2. Source: Alexandria via LeMat-Bulk, functional PBE-GGA.

Space group = P4/mmm (123)
Crystal system = tetragonal

a = 5.9549 Å, b = 5.9549 Å, c = 5.4329 Å
α = 90.00°, β = 90.00°, γ = 90.00°
Closest atoms and distances in Å follow each position.
Atoms (fractional coordinates):
1 Cs 0.5000 0.5000 0.5000  8 I 4.03, 4 Te 4.21
2 I 0.0000 0.5000 0.0000  2 Ta 2.98
3 I 0.5000 0.0000 0.0000  2 Ta 2.98
4 Te 0.0000 0.0000 0.5000  2 Ta 2.72
5 Ta 0.0000 0.0000 0.0000  2 Te 2.72, 4 I 2.98

=====

No. 2
An optimized crystal structure of Cs2TaTiI6. Source: Alexandria via LeMat-Bulk, functional PBE-GGA.

Space group = I4/mmm (139)
Crystal system = tetragonal

a = 8.2650 Å, b = 8.2650 Å, c = 8.2150 Å
α = 59.80°, β = 59.80°, γ = 90.00°
Closest atoms and distances in Å follow each position.
Atoms (fractional coordinates):
1 Cs 0.7500 0.2500 0.5000  12 I 4.11-4.13
2 Cs 0.2500 0.7500 0.5000  12 I 4.11-4.13
3 I 0.2505 0.2505 0.4991  1 Ti 2.88, 1 Ta 2.89
4 I 0.7495 0.7495 0.5009  1 Ti 2.88, 1 Ta 2.89
5 I 0.2486 0.2486 0.0000  1 Ta 2.91, 1 Ti 2.94
6 I 0.7514 0.7514 0.0000  1 Ta 2.91, 1 Ti 2.94
7 I 0.7514 0.2486 0.0000  1 Ta 2.91, 1 Ti 2.94
8 I 0.2486 0.7514 0.0000  1 Ta 2.91, 1 Ti 2.94
9 Ti 0.5000 0.5000 0.0000  6 I 2.88-2.94
10 Ta 0.0000 0.0000 0.0000  6 I 2.89-2.91

=====

No. 3
An optimized crystal structure of CsTaTl2I8. Source: Alexandria via LeMat-Bulk, functional PBE-GGA.

Space group = P-1 (2)
Crystal system = triclinic

a = 7.1694 Å, b = 8.6712 Å, c = 10.6422 Å
α = 89.87°, β = 90.08°, γ = 117.77°
Closest atoms and distances in Å follow each position.
Atoms (fractional coordinates):
1 Cs 0.0000 0.0000 0.5000  6 I 3.88-3.91
2 Ta 0.0000 0.0000 0.0000  6 I 2.75-2.79
3 Tl 0.5015 0.4993 0.7291  4 I 3.29-3.59
4 Tl 0.4985 0.5007 0.2709  4 I 3.29-3.59
5 I 0.0343 0.7850 0.1838  1 Ta 2.79
6 I 0.5695 0.7969 0.9987  1 Ta 2.75
7 I 0.9628 0.2134 0.1830  1 Ta 2.79
8 I 0.9657 0.2150 0.8162  1 Ta 2.79
9 I 0.4305 0.2031 0.0013  1 Ta 2.75
10 I 0.0372 0.7866 0.8170  1 Ta 2.79
11 I 0.3948 0.7017 0.5008  2 Tl 3.29
12 I 0.6052 0.2983 0.4992  2 Tl 3.29

=====

No. 4
An optimized crystal structure of Cs2TaVI6. Source: Alexandria via LeMat-Bulk, functional PBE-GGA.

Space group = Fm-3m (225)
Crystal system = cubic

a = 8.2546 Å, b = 8.2546 Å, c = 8.2559 Å
α = 60.01°, β = 60.01°, γ = 90.00°
Closest atoms and distances in Å follow each position.
Atoms (fractional coordinates):
1 Cs 0.7500 0.2500 0.5000  12 I 4.13
2 Cs 0.2500 0.7500 0.5000  12 I 4.13
3 I 0.2482 0.2482 0.5035  1 Ta 2.90, 1 V 2.94
4 I 0.7518 0.7518 0.4965  1 Ta 2.90, 1 V 2.94
5 I 0.2484 0.2484 0.0000  1 Ta 2.90, 1 V 2.94
6 I 0.7516 0.7516 0.0000  1 Ta 2.90, 1 V 2.94
7 I 0.7516 0.2484 0.0000  1 Ta 2.90, 1 V 2.94
8 I 0.2484 0.7516 0.0000  1 Ta 2.90, 1 V 2.94
9 V 0.5000 0.5000 0.0000  6 I 2.94
10 Ta 0.0000 0.0000 0.0000  6 I 2.90

=====

No. 5
An optimized crystal structure of Cs2YTaI6. Source: Alexandria via LeMat-Bulk, functional PBE-GGA.

Space group = Fm-3m (225)
Crystal system = cubic

a = 8.3770 Å, b = 8.3770 Å, c = 8.3806 Å
α = 60.01°, β = 60.01°, γ = 90.00°
Closest atoms and distances in Å follow each position.
Atoms (fractional coordinates):
1 Cs 0.7500 0.2500 0.5000  12 I 4.19
2 Cs 0.2500 0.7500 0.5000  12 I 4.19
3 I 0.2426 0.2426 0.5149  1 Ta 2.88, 1 Y 3.05
4 I 0.7574 0.7574 0.4851  1 Ta 2.88, 1 Y 3.05
5 I 0.2425 0.2425 0.0000  1 Ta 2.87, 1 Y 3.05
6 I 0.7575 0.7575 0.0000  1 Ta 2.87, 1 Y 3.05
7 I 0.7575 0.2425 0.0000  1 Ta 2.87, 1 Y 3.05
8 I 0.2425 0.7575 0.0000  1 Ta 2.87, 1 Y 3.05
9 Y 0.5000 0.5000 0.0000  6 I 3.05
10 Ta 0.0000 0.0000 0.0000  6 I 2.87-2.88

=====

No. 6
An optimized crystal structure of CsYTa2I. Source: Alexandria via LeMat-Bulk, functional PBE-GGA.

Space group = P4/mmm (123)
Crystal system = tetragonal

a = 5.1259 Å, b = 5.8598 Å, c = 5.1259 Å
α = 90.00°, β = 90.00°, γ = 90.00°
Closest atoms and distances in Å follow each position.
Atoms (fractional coordinates):
1 Cs 0.0000 0.0000 0.0000  4 Ta 2.56
2 I 0.5000 0.5000 0.5000  4 Y 3.62, 8 Ta 3.89
3 Y 0.0000 0.5000 0.0000  2 Cs 2.93
4 Ta 0.0000 0.0000 0.5000  2 Cs 2.56
5 Ta 0.5000 0.0000 0.0000  2 Cs 2.56

=====

No. 7
An optimized crystal structure of Cs4TbI7. Source: Alexandria via LeMat-Bulk, functional PBE-GGA.

Space group = C2/m (12)
Crystal system = monoclinic

a = 6.2277 Å, b = 10.2005 Å, c = 11.8788 Å
α = 73.04°, β = 74.80°, γ = 72.23°
Closest atoms and distances in Å follow each position.
Atoms (fractional coordinates):
1 Cs 0.5705 0.6180 0.2409  5 I 3.76-4.08
2 Cs 0.4295 0.3820 0.7591  5 I 3.76-4.08
3 Cs 0.7242 0.8809 0.6707  6 I 3.82-4.20
4 Cs 0.2758 0.1191 0.3293  6 I 3.82-4.20
5 Tb 0.0000 0.0000 0.0000  6 I 3.01-3.11
6 I 0.8318 0.2985 0.0379  1 Tb 3.03
7 I 0.1682 0.7015 0.9621  1 Tb 3.03
8 I 0.0705 0.1249 0.7341  1 Tb 3.01
9 I 0.9295 0.8751 0.2659  1 Tb 3.01
10 I 0.3585 0.7389 0.5441  5 Cs 3.76-3.94
11 I 0.5000 0.0000 0.0000  2 Tb 3.11
12 I 0.6415 0.2611 0.4559  5 Cs 3.76-3.94

=====

No. 8
An optimized crystal structure of CsTb2I6. Source: Alexandria via LeMat-Bulk, functional PBE-GGA.

Space group = P-31m (162)
Crystal system = trigonal

a = 9.2179 Å, b = 7.7154 Å, c = 7.7154 Å
α = 120.00°, β = 90.00°, γ = 90.00°
Closest atoms and distances in Å follow each position.
Atoms (fractional coordinates):
1 Cs 0.0000 0.0000 0.0000  6 I 3.91
2 Tb 0.5000 0.6667 0.3333  6 I 3.09
3 Tb 0.5000 0.3333 0.6667  6 I 3.09
4 I 0.6970 0.6456 0.6456  2 Tb 3.09
5 I 0.3030 0.6456 0.0000  2 Tb 3.09
6 I 0.3030 0.0000 0.6456  2 Tb 3.09
7 I 0.6970 0.3544 0.0000  2 Tb 3.09
8 I 0.3030 0.3544 0.3544  2 Tb 3.09
9 I 0.6970 0.0000 0.3544  2 Tb 3.09

=====

Which raw formation energy belongs to each record? In order, -0.396; -0.600; -0.672; -0.572; -0.831; 2.511; -1.491; -1.347 eV/atom.